# PmHoTh PBE-GGA relaxed
# Energy relative to the elements   50 kJ/mol of formula units
# Energy above the lowest structure with this stoichiometry   148 meV/atom
# Electronic total energy   -5.410 eV per atom
data_PmHoTh
_chemical_formula_sum 'Pm4 Ho4 Th4'
_cell_length_a 8.9181
_cell_length_b 6.8753
_cell_length_c 6.6445
_cell_angle_alpha 90.00
_cell_angle_beta 102.62
_cell_angle_gamma 90.00
_space_group_name_H-M_alt 'P 1 21/c 1'
_space_group_IT_number 14
loop_
_space_group_symop_operation_xyz
'x,y,z'
'-x,-y,-z'
'-x,y+1/2,-z+1/2'
'x,-y+1/2,z+1/2'
loop_
_atom_site_label
_atom_site_type_symbol
_atom_site_fract_x
_atom_site_fract_y
_atom_site_fract_z
Pm1 Pm 0.1647 0.1007 0.1594
Ho1 Ho 0.1745 0.6028 0.1359
Th1 Th 0.4962 0.2209 0.5832



# PmHoTh PBE-GGA relaxed
# Energy relative to the elements   7 kJ/mol of formula units
# Energy above the lowest structure with this stoichiometry   0 meV/atom
# Electronic total energy   -5.558 eV per atom
data_PmHoTh
_chemical_formula_sum 'Pm4 Ho4 Th4'
_cell_length_a 6.2186
_cell_length_b 3.5908
_cell_length_c 17.6436
_cell_angle_alpha 90.00
_cell_angle_beta 96.79
_cell_angle_gamma 90.00
_space_group_name_H-M_alt 'C 1 2/m 1'
_space_group_IT_number 12
loop_
_space_group_symop_operation_xyz
'x,y,z'
'-x,-y,-z'
'-x,y,-z'
'x,-y,z'
'x+1/2,y+1/2,z'
'-x+1/2,-y+1/2,-z'
'-x+1/2,y+1/2,-z'
'x+1/2,-y+1/2,z'
loop_
_atom_site_label
_atom_site_type_symbol
_atom_site_fract_x
_atom_site_fract_y
_atom_site_fract_z
Pm1 Pm 0.1945 0.0000 0.0860
Ho1 Ho 0.0828 0.0000 0.7451
Th1 Th 0.1393 0.5000 0.4187



# Pm2HoTh2 PBE-GGA relaxed
# Energy relative to the elements   17 kJ/mol of formula units
# Energy above the lowest structure with this stoichiometry   0 meV/atom
# Electronic total energy   -5.749 eV per atom
data_Pm2HoTh2
_chemical_formula_sum 'Pm4 Ho2 Th4'
_cell_length_a 3.5966
_cell_length_b 3.5966
_cell_length_c 25.5130
_cell_angle_alpha 90.00
_cell_angle_beta 90.00
_cell_angle_gamma 90.00
_space_group_name_H-M_alt 'I 4/m m m'
_space_group_IT_number 139
_space_group_name_Hall '-I 4 2'
loop_
_atom_site_label
_atom_site_type_symbol
_atom_site_fract_x
_atom_site_fract_y
_atom_site_fract_z
Pm1 Pm 0.0000 0.0000 0.1019
Ho1 Ho 0.0000 0.0000 0.5000
Th1 Th 0.0000 0.0000 0.2977



# PmHoTh2 PBE-GGA relaxed
# Energy relative to the elements   11 kJ/mol of formula units
# Energy above the lowest structure with this stoichiometry   0 meV/atom
# Electronic total energy   -6.013 eV per atom
data_PmHoTh2
_chemical_formula_sum 'Pm2 Ho2 Th4'
_cell_length_a 5.0533
_cell_length_b 5.0785
_cell_length_c 10.1503
_cell_angle_alpha 90.00
_cell_angle_beta 90.11
_cell_angle_gamma 90.00
_space_group_name_H-M_alt 'P 1 21/m 1'
_space_group_IT_number 11
loop_
_space_group_symop_operation_xyz
'x,y,z'
'-x,-y,-z'
'-x,y+1/2,-z'
'x,-y+1/2,z'
loop_
_atom_site_label
_atom_site_type_symbol
_atom_site_fract_x
_atom_site_fract_y
_atom_site_fract_z
Pm1 Pm 0.0007 0.2500 0.3686
Ho1 Ho 0.4995 0.2500 0.6313
Th1 Th 0.9997 0.2500 0.8778
Th2 Th 0.4998 0.2500 0.1204



# Pm3Ho8Th2 PBE-GGA relaxed
# Energy relative to the elements   351 kJ/mol of formula units
# Energy above the lowest structure with this stoichiometry   165 meV/atom
# Electronic total energy   -4.775 eV per atom
data_Pm3Ho8Th2
_chemical_formula_sum 'Pm3 Ho8 Th2'
_cell_length_a 7.3877
_cell_length_b 5.6993
_cell_length_c 10.9663
_cell_angle_alpha 90.00
_cell_angle_beta 109.60
_cell_angle_gamma 90.00
_space_group_name_H-M_alt 'P 1 2/m 1'
_space_group_IT_number 10
loop_
_space_group_symop_operation_xyz
'x,y,z'
'-x,-y,-z'
'-x,y,-z'
'x,-y,z'
loop_
_atom_site_label
_atom_site_type_symbol
_atom_site_fract_x
_atom_site_fract_y
_atom_site_fract_z
Pm1 Pm 0.0000 0.0000 0.0000
Pm2 Pm 0.2821 0.5000 0.9996
Ho1 Ho 0.1393 0.5000 0.2793
Ho2 Ho 0.1733 0.0000 0.7790
Ho3 Ho 0.3316 0.5000 0.6621
Ho4 Ho 0.3941 0.0000 0.2207
Th1 Th 0.2450 0.0000 0.4900



# Pm5Ho3Th PBE-GGA relaxed
# Energy relative to the elements   270 kJ/mol of formula units
# Electronic total energy   -4.678 eV per atom
data_Pm5Ho3Th
_chemical_formula_sum 'Pm20 Ho12 Th4'
_cell_length_a 7.8969
_cell_length_b 7.8969
_cell_length_c 19.6074
_cell_angle_alpha 90.00
_cell_angle_beta 90.00
_cell_angle_gamma 90.00
_space_group_name_H-M_alt 'I 4/m c m'
_space_group_IT_number 140
_space_group_name_Hall '-I 4 2c'
loop_
_atom_site_label
_atom_site_type_symbol
_atom_site_fract_x
_atom_site_fract_y
_atom_site_fract_z
Pm1 Pm 0.0000 0.0000 0.0000
Pm2 Pm 0.2058 0.2942 0.1325
Ho1 Ho 0.0000 0.0000 0.2500
Ho2 Ho 0.1312 0.3688 0.5000
Th1 Th 0.0000 0.5000 0.2500



# Pm14HoTh PBE-GGA relaxed
# Energy relative to the elements   33 kJ/mol of formula units
# Electronic total energy   -4.885 eV per atom
data_Pm14HoTh
_chemical_formula_sum 'Pm14 Ho1 Th1'
_cell_length_a 7.2705
_cell_length_b 7.2705
_cell_length_c 10.3165
_cell_angle_alpha 90.00
_cell_angle_beta 90.00
_cell_angle_gamma 90.00
_space_group_name_H-M_alt 'P 4/m m m'
_space_group_IT_number 123
_space_group_name_Hall '-P 4 2'
loop_
_atom_site_label
_atom_site_type_symbol
_atom_site_fract_x
_atom_site_fract_y
_atom_site_fract_z
Pm1 Pm 0.0000 0.0000 0.0000
Pm2 Pm 0.0000 0.5000 0.0000
Pm3 Pm 0.0000 0.5000 0.5000
Pm4 Pm 0.2481 0.2481 0.2531
Pm5 Pm 0.5000 0.5000 0.0000
Ho1 Ho 0.5000 0.5000 0.5000
Th1 Th 0.0000 0.0000 0.5000



# Pm4Ho5Th PBE-GGA relaxed
# Energy relative to the elements   183 kJ/mol of formula units
# Energy above the lowest structure with this stoichiometry   0 meV/atom
# Electronic total energy   -4.742 eV per atom
data_Pm4Ho5Th
_chemical_formula_sum 'Pm8 Ho10 Th2'
_cell_length_a 11.7293
_cell_length_b 5.4804
_cell_length_c 10.4506
_cell_angle_alpha 90.00
_cell_angle_beta 90.49
_cell_angle_gamma 90.00
_space_group_name_H-M_alt 'C 1 2/m 1'
_space_group_IT_number 12
loop_
_space_group_symop_operation_xyz
'x,y,z'
'-x,-y,-z'
'-x,y,-z'
'x,-y,z'
'x+1/2,y+1/2,z'
'-x+1/2,-y+1/2,-z'
'-x+1/2,y+1/2,-z'
'x+1/2,-y+1/2,z'
loop_
_atom_site_label
_atom_site_type_symbol
_atom_site_fract_x
_atom_site_fract_y
_atom_site_fract_z
Pm1 Pm 0.0508 0.0000 0.2513
Pm2 Pm 0.1701 0.5000 0.7491
Ho1 Ho 0.0000 0.5000 0.5000
Ho2 Ho 0.1935 0.0000 0.9369
Ho3 Ho 0.1976 0.0000 0.5675
Th1 Th 0.0000 0.5000 0.0000